Material: BaPrWO6
Method: DFT, PBE with a Hubbard U
State: relaxed

a b c (Å): 5.8814 5.8814 5.5223
angles (deg): 90.00 90.00 120.00
Space group P312 (No. 149)
Asymmetric unit:
Ba  0.0000  0.0000  0.0000 [1 per cell]
Pr  0.3333  0.6667  0.5000 [1 per cell]
W  0.6667  0.3333  0.5000 [1 per cell]
O  0.4001  0.0524  0.7013 [6 per cell]

Properties
magnetization	0.119	μB per atom
electronic total energy	-65.48	eV per cell